Entry 1:
Ti2SnH: optimized geometry, PBE-GGA.

a b c (Å): 5.935 4.194 9.097
angles (deg): 90.00 90.00 90.00
Fractional coordinates of all 16 atoms:
1 Ti 0.132 0.250 0.223
2 Ti 0.133 0.250 0.559
3 Ti 0.367 0.750 0.059
4 Ti 0.368 0.750 0.723
5 Ti 0.632 0.250 0.277
6 Ti 0.633 0.250 0.941
7 Ti 0.867 0.750 0.441
8 Ti 0.868 0.750 0.777
9 Sn 0.143 0.250 0.885
10 Sn 0.357 0.750 0.385
11 Sn 0.643 0.250 0.615
12 Sn 0.857 0.750 0.115
13 H 0.075 0.750 0.616
14 H 0.425 0.250 0.116
15 H 0.575 0.750 0.884
16 H 0.925 0.250 0.384

Output
crystal system = orthorhombic
total energy = -98.75 eV per cell
space-group type = Pnma (62)
ΔE to the lowest computed polymorph = 0 meV/atom
Fermi-level density of states = 8.72 states/eV/cell
theoretical density = 6321 kg/m³

---

Entry 2:
Ti6Sn3H2: optimized geometry, PBE-GGA.

a b c (Å): 11.254 11.254 11.254
angles (deg): 158.88 158.88 30.04
Fractional coordinates of all 11 atoms:
1 Ti 0.089 0.589 0.500
2 Ti 0.184 0.184 0.000
3 Ti 0.411 0.911 0.500
4 Ti 0.589 0.089 0.500
5 Ti 0.816 0.816 0.000
6 Ti 0.911 0.411 0.500
7 Sn 0.315 0.315 0.000
8 Sn 0.500 0.500 0.000
9 Sn 0.685 0.685 0.000
10 H 0.093 0.093 0.000
11 H 0.907 0.907 0.000

Output
crystal system = tetragonal
total energy = -68.88 eV per cell
space-group type = I4/mmm (139)
Fermi-level density of states = 13.78 states/eV/cell
theoretical density = 5794 kg/m³

---

Entry 3:
Ti4Sn2H: optimized geometry, PBE-GGA.

a b c (Å): 7.854 7.854 7.854
angles (deg): 150.63 150.63 42.02
Fractional coordinates of all 7 atoms:
1 Ti 0.000 0.500 0.500
2 Ti 0.165 0.165 0.000
3 Ti 0.500 0.000 0.500
4 Ti 0.835 0.835 0.000
5 Sn 0.357 0.357 0.000
6 Sn 0.643 0.643 0.000
7 H 0.000 0.000 0.000

Output
crystal system = tetragonal
total energy = -45.41 eV per cell
space-group type = I4/mmm (139)
ΔE to the lowest computed polymorph = 0 meV/atom
Fermi-level density of states = 7.88 states/eV/cell
theoretical density = 6141 kg/m³